An optimized crystal structure of Sr2AgN. Source: Alexandria, functional PBE.

space group = P4/mmm, No. 123
formation energy without anion corrections = -0.21 eV per atom
D(E_F) = 0.46 states/eV per atom
E = -3.84 eV per atom

The structure in POSCAR format:
```
Sr2AgN
1.0
3.3514 0.0000 0.0000
0.0000 3.3514 0.0000
0.0000 0.0000 7.8047
N Ag Sr
1 1 2
Direct
0.5000 0.5000 0.0000
0.5000 0.5000 0.5000
0.0000 0.0000 0.1828
0.0000 0.0000 0.8172
```